Compound: VBr
Source: Alexandria
Functional: PBE
Structure: relaxed

Formation energy (no corrections) (eV per atom): 0.25
VASP energy (eV per atom): -5.14

The structure in CIF format:
```
data_VBr
_symmetry_space_group_name_H-M 'R 3 m'
_symmetry_Int_Tables_number 160
_symmetry_space_group_name_Hall 'R 3 -2"'
_cell_length_a 3.1672
_cell_length_b 3.1672
_cell_length_c 12.5711
_cell_angle_alpha 90.00
_cell_angle_beta 90.00
_cell_angle_gamma 120.00
loop_
_atom_site_label
_atom_site_type_symbol
_atom_site_fract_x
_atom_site_fract_y
_atom_site_fract_z
V1 V 0.0000 0.0000 0.0000
Br1 Br 0.0000 0.0000 0.2016
```